Entry 1:
Tb4OsPd2 | GGA-PBE | relaxed

Energy relative to the elements (meV/atom): -545
Density of states at the Fermi level (states/eV/atom): 0.4482

Cell lengths 4.8986, 4.8986, 24.2779 Å; angles 90.00, 90.00, 120.00 degrees
With the nearest neighbours (Å) after each atom.
Space group R-3m (No. 166, hexagonal axes)
Symmetry-distinct sites (fractional):
Tb  0.0000  0.0000  0.1214 [6 per cell]  1 Os 2.95, 4 Pd 2.97-3.10
Tb  0.0000  0.0000  0.3727 [6 per cell]  3 Os 2.99, 4 Pd 3.00-3.03
Os  0.0000  0.0000  0.0000 [3 per cell]  8 Tb 2.95-2.99
Pd  0.0000  0.0000  0.2490 [6 per cell]  8 Tb 2.97-3.10



Entry 2:
Tb12OsPd6 | GGA-PBE | relaxed

Energy relative to the elements (meV/atom): -491
Density of states at the Fermi level (states/eV/atom): 0.9630

Cell lengths 12.5320, 12.5320, 11.9094 Å; angles 90.00, 90.00, 120.00 degrees
With the nearest neighbours (Å) after each atom.
Space group R-3 (No. 148, hexagonal axes)
Symmetry-distinct sites (fractional):
Tb  0.0248  0.2109  0.3914 [18 per cell]  4 Pd 2.79-3.06
Tb  0.0398  0.1996  0.8797 [18 per cell]  1 Os 2.70, 2 Pd 2.90-2.93
Os  0.0000  0.0000  0.0000 [3 per cell]  6 Tb 2.70
Pd  0.0406  0.2641  0.6434 [18 per cell]  6 Tb 2.79-3.06



Entry 3:
Tb6Os2Pd | GGA-PBE | relaxed

Energy relative to the elements (meV/atom): -278
Density of states at the Fermi level (states/eV/atom): 0.6981

Cell lengths 6.6772, 7.4621, 11.3513 Å; angles 90.00, 123.89, 90.00 degrees
With the nearest neighbours (Å) after each atom.
Space group P2_1/c (No. 14)
Symmetry-distinct sites (fractional):
Tb  0.0715  0.0546  0.2379 [4 per cell]  1 Pd 2.78, 2 Os 2.79-2.80
Tb  0.2212  0.6749  0.0723 [4 per cell]  1 Pd 2.75, 1 Os 2.89
Tb  0.3928  0.1654  0.0686 [4 per cell]  1 Pd 2.82, 2 Os 2.85-3.04
Os  0.2951  0.1186  0.7589 [4 per cell]  6 Tb 2.79-3.09
Pd  0.5000  0.0000  0.5000 [2 per cell]  6 Tb 2.75-2.82



Entry 4:
Tb4OsPd | GGA-PBE | relaxed

ΔE to the lowest computed polymorph (kcal/mol of atoms): 1.84
Energy relative to the elements (meV/atom): -352
Density of states at the Fermi level (states/eV/atom): 0.6546

Cell lengths 6.9266, 6.9197, 6.9453 Å; angles 90.00, 92.11, 90.00 degrees
With the nearest neighbours (Å) after each atom.
Space group P2_1/c (No. 14)
Symmetry-distinct sites (fractional):
Tb  0.1577  0.1670  0.1762 [4 per cell]  2 Os 2.79-2.81, 1 Pd 2.94
Tb  0.3280  0.6643  0.1531 [4 per cell]  1 Os 2.72, 2 Pd 2.84-2.88
Os  0.0000  0.0000  0.5000 [2 per cell]  6 Tb 2.72-2.81
Pd  0.5000  0.0000  0.0000 [2 per cell]  6 Tb 2.84-2.94



Entry 5:
Tb4OsPd3 | GGA-PBE | relaxed

Energy relative to the elements (meV/atom): -715
Density of states at the Fermi level (states/eV/atom): 0.2769

Cell lengths 3.4625, 3.4625, 14.2407 Å; angles 90.00, 90.00, 90.00 degrees
With the nearest neighbours (Å) after each atom.
Space group P4/mmm (No. 123)
Symmetry-distinct sites (fractional):
Tb  0.0000  0.0000  0.1176 [2 per cell]  4 Os 2.97, 4 Pd 3.10
Tb  0.0000  0.0000  0.3732 [2 per cell]  8 Pd 3.00-3.04
Os  0.5000  0.5000  0.0000 [1 per cell]  8 Tb 2.97
Pd  0.5000  0.5000  0.2509 [2 per cell]  8 Tb 3.00-3.10
Pd  0.5000  0.5000  0.5000 [1 per cell]  8 Tb 3.04



Entry 6:
Tb5OsPd2 | GGA-PBE | relaxed

Energy relative to the elements (meV/atom): -519
Density of states at the Fermi level (states/eV/atom): 0.8759

Cell lengths 7.2009, 7.2009, 15.0166 Å; angles 90.00, 90.00, 90.00 degrees
With the nearest neighbours (Å) after each atom.
Space group I4/mcm (No. 140)
Symmetry-distinct sites (fractional):
Tb  0.0000  0.0000  0.0000 [4 per cell]  4 Pd 2.82
Tb  0.1741  0.3259  0.1518 [16 per cell]  3 Pd 3.02-3.18, 2 Os 3.04, 1 Tb 3.33
Os  0.0000  0.0000  0.2500 [4 per cell]  8 Tb 3.04
Pd  0.1312  0.3688  0.5000 [8 per cell]  1 Pd 2.67, 2 Tb 2.82



Entry 7:
TbTmOsPd | GGA-PBE | relaxed

Energy relative to the elements (meV/atom): -566
Density of states at the Fermi level (states/eV/atom): 0.5038

Cell lengths 6.8634, 6.8634, 6.8634 Å; angles 90.00, 90.00, 90.00 degrees
With the nearest neighbours (Å) after each atom.
Space group F-43m (No. 216)
Symmetry-distinct sites (fractional):
Tb  0.0000  0.0000  0.0000 [4 per cell]  4 Os 2.97, 4 Pd 2.97
Tm  0.0000  0.0000  0.5000 [4 per cell]  4 Pd 2.97, 4 Os 2.97
Os  0.2500  0.2500  0.2500 [4 per cell]  4 Tb 2.97, 4 Tm 2.97
Pd  0.2500  0.2500  0.7500 [4 per cell]  4 Tb 2.97, 4 Tm 2.97



Entry 8:
TbYOsPd | GGA-PBE | relaxed

Energy relative to the elements (meV/atom): -512
Density of states at the Fermi level (states/eV/atom): 0.5302

Cell lengths 6.9202, 6.9202, 6.9202 Å; angles 90.00, 90.00, 90.00 degrees
With the nearest neighbours (Å) after each atom.
Space group F-43m (No. 216)
Symmetry-distinct sites (fractional):
Tb  0.0000  0.0000  0.0000 [4 per cell]  4 Os 3.00, 4 Pd 3.00
Y  0.0000  0.0000  0.5000 [4 per cell]  4 Pd 3.00, 4 Os 3.00
Os  0.2500  0.2500  0.7500 [4 per cell]  4 Tb 3.00, 4 Y 3.00
Pd  0.2500  0.2500  0.2500 [4 per cell]  4 Tb 3.00, 4 Y 3.00